A plane-wave DFT calculation with meta-GGA SCAN was carried out for CaB2N2 at its PBEsol-relaxed geometry.

* ΔE_f (raw): 0.33 eV per atom
* DFT total energy: -8.293 eV/atom
* calculated density: 3.33 g/cm³
* Fermi-level density of states: 0.383 states/eV per atom

Lattice parameters (Å, degrees): 3.256 3.256 8.430 90.00 90.00 90.00
Space group I4/mmm (No. 139)
One atom of each set of equivalent atoms:
Ca: 0.000 0.000 0.000
B: 0.000 0.500 0.250
N: 0.000 0.000 0.302



A plane-wave DFT calculation with meta-GGA SCAN was carried out for HgPt3 at its PBEsol-relaxed geometry.

* DFT total energy: -69.596 eV/atom
* calculated density: 20.39 g/cm³
* calculated formation energy: 0.090 eV/atom
* Fermi-level density of states: 0.757 states/eV per atom

Lattice parameters (Å, degrees): 5.782 7.844 2.823 90.00 90.00 90.00
Space group Cmmm (No. 65)
One atom of each set of equivalent atoms:
Hg: 0.000 0.000 0.000
Pt: 0.000 0.500 0.000
Pt: 0.250 0.250 0.500



A plane-wave DFT calculation with meta-GGA SCAN was carried out for W2CSe at its PBEsol-relaxed geometry.

* ΔE_f (raw): 1.19 eV per atom
* DFT total energy: -41.195 eV/atom
* calculated density: 15.04 g/cm³
* Fermi-level density of states: 0.780 states/eV per atom

Lattice parameters (Å, degrees): 5.873 5.873 5.873 90.00 90.00 90.00
Space group Fm-3m (No. 225)
One atom of each set of equivalent atoms:
W: 0.250 0.250 0.250
C: 0.000 0.000 0.000
Se: 0.000 0.000 0.500



A plane-wave DFT calculation with meta-GGA SCAN was carried out for LiCdPt2 at its PBEsol-relaxed geometry.

* DFT total energy: -43.738 eV/atom
* calculated density: 13.91 g/cm³
* calculated formation energy: -0.440 eV/atom
* Fermi-level density of states: 0.364 states/eV per atom

Lattice parameters (Å, degrees): 9.199 2.811 4.789 90.00 100.62 90.00
Space group C2/m (No. 12)
One atom of each set of equivalent atoms:
Li: 0.000 0.000 0.000
Cd: 0.000 0.500 0.500
Pt: 0.247 0.500 0.243



A plane-wave DFT calculation with meta-GGA SCAN was carried out for Mg2ZnRh at its PBEsol-relaxed geometry.

* DFT total energy: -14.726 eV/atom
* calculated density: 5.68 g/cm³
* calculated formation energy: -0.418 eV/atom
* Fermi-level density of states: 0.375 states/eV per atom

Lattice parameters (Å, degrees): 3.167 3.167 6.325 90.00 90.00 90.00
Space group P4/mmm (No. 123)
One atom of each set of equivalent atoms:
Mg: 0.000 0.000 0.229
Zn: 0.500 0.500 0.500
Rh: 0.500 0.500 0.000



A plane-wave DFT calculation with meta-GGA SCAN was carried out for SrGeSCl2 at its PBEsol-relaxed geometry.

* ΔE_f (raw): -1.28 eV per atom
* DFT total energy: -14.669 eV/atom
* calculated density: 3.50 g/cm³
* Fermi-level density of states: 0.010 states/eV per atom

Lattice parameters (Å, degrees): 4.938 4.938 5.124 90.00 90.00 90.00
Space group P4/mmm (No. 123)
One atom of each set of equivalent atoms:
Sr: 0.000 0.000 0.000
Ge: 0.500 0.500 0.500
S: 0.500 0.500 0.000
Cl: 0.000 0.500 0.500



A plane-wave DFT calculation with meta-GGA SCAN was carried out for ZnW2Se at its PBEsol-relaxed geometry.

* ΔE_f (raw): 0.70 eV per atom
* DFT total energy: -42.547 eV/atom
* calculated density: 13.57 g/cm³
* Fermi-level density of states: 0.350 states/eV per atom

Lattice parameters (Å, degrees): 6.305 6.305 6.305 90.00 90.00 90.00
Space group F-43m (No. 216)
One atom of each set of equivalent atoms:
Zn: 0.000 0.000 0.000
W: 0.000 0.000 0.500
W: 0.250 0.250 0.250
Se: 0.250 0.250 0.750



A plane-wave DFT calculation with meta-GGA SCAN was carried out for CuRhAu2 at its PBEsol-relaxed geometry.

* DFT total energy: -46.732 eV/atom
* calculated density: 15.71 g/cm³
* calculated formation energy: 0.089 eV/atom
* Fermi-level density of states: 0.986 states/eV per atom

Lattice parameters (Å, degrees): 3.905 3.905 7.768 90.00 90.00 90.00
Space group I-4m2 (No. 119)
One atom of each set of equivalent atoms:
Cu: 0.000 0.000 0.000
Rh: 0.000 0.500 0.250
Au: 0.000 0.000 0.500
Au: 0.000 0.500 0.750



A plane-wave DFT calculation with meta-GGA SCAN was carried out for FeCu2Se at its PBEsol-relaxed geometry.

* ΔE_f (raw): 0.34 eV per atom
* DFT total energy: -16.816 eV/atom
* calculated density: 8.52 g/cm³
* Fermi-level density of states: 0.480 states/eV per atom

Lattice parameters (Å, degrees): 5.889 5.889 5.889 90.00 90.00 90.00
Space group F-43m (No. 216)
One atom of each set of equivalent atoms:
Fe: 0.000 0.000 0.000
Cu: 0.000 0.000 0.500
Cu: 0.250 0.250 0.250
Se: 0.250 0.250 0.750



A plane-wave DFT calculation with meta-GGA SCAN was carried out for Ca2TlCl at its PBEsol-relaxed geometry.

* ΔE_f (raw): -1.26 eV per atom
* DFT total energy: -26.177 eV/atom
* calculated density: 4.67 g/cm³
* Fermi-level density of states: 0.295 states/eV per atom

Lattice parameters (Å, degrees): 3.860 3.615 8.158 90.00 90.08 90.00
Space group P2/m (No. 10)
One atom of each set of equivalent atoms:
Ca: 0.001 0.000 0.233
Tl: 0.500 0.500 0.000
Cl: 0.000 0.500 0.500



A plane-wave DFT calculation with meta-GGA SCAN was carried out for KZrHg at its PBEsol-relaxed geometry.

* DFT total energy: -35.533 eV/atom
* calculated density: 6.53 g/cm³
* calculated formation energy: 0.198 eV/atom
* Fermi-level density of states: 0.645 states/eV per atom

Lattice parameters (Å, degrees): 3.265 3.292 15.656 90.00 90.00 90.00
Space group Imm2 (No. 44)
One atom of each set of equivalent atoms:
K: 0.000 0.000 0.000
Zr: 0.000 0.000 0.286
Hg: 0.000 0.000 0.672



A plane-wave DFT calculation with meta-GGA SCAN was carried out for ScCd2Pb2 at its PBEsol-relaxed geometry.

* DFT total energy: -45.178 eV/atom
* calculated density: 8.44 g/cm³
* calculated formation energy: 0.148 eV/atom
* Fermi-level density of states: 0.770 states/eV per atom

Lattice parameters (Å, degrees): 4.514 4.514 13.212 90.00 90.00 90.00
Space group I4/mmm (No. 139)
One atom of each set of equivalent atoms:
Sc: 0.000 0.000 0.000
Cd: 0.000 0.000 0.402
Pb: 0.000 0.500 0.250



V per entry: 44.7, 64.0, 50.6, 60.8, 63.4, 124.9, 62.7, 59.2, 51.1, 113.8, 84.1, 134.6 Å³/f.u.